The following is a PBE calculation of SnSbAu after structural relaxation, from the Alexandria database.

Structure (extended XYZ):
```
12
Lattice="4.8633 0.0000 0.0000 0.0000 7.8329 0.0000 0.0000 0.0000 9.0355" Properties=species:S:1:pos:R:3 pbc="T T T"
Sn 1.2158 7.1460 0.3511
Au 3.6475 2.8370 1.4230
Sb 1.2158 7.4839 5.9427
Au 3.6475 1.0795 5.9407
Sb 3.6475 0.3490 3.0928
Sb 1.2158 4.2655 1.4249
Sn 3.6475 0.6869 8.6844
Sn 3.6475 3.2295 4.1666
Sn 1.2158 4.6034 4.8689
Au 1.2158 6.7535 3.0948
Au 1.2158 4.9960 7.6125
Sb 3.6475 3.5675 7.6106
```

- Total moment: 0.0 μB/cell
- Total energy: -3.792 eV/atom
- Energy above the lowest structure with this stoichiometry: 87.8 meV/atom
- Space-group type: Pnma, No. 62